Computed, not measured: a relaxed BaBAsO5 crystal at the PBE level of DFT.

Structure (CIF):
```
data_BaBAsO5
_chemical_formula_sum 'Ba3 B3 As3 O15'
_cell_length_a 7.4391
_cell_length_b 7.4391
_cell_length_c 7.2009
_cell_angle_alpha 90.00
_cell_angle_beta 90.00
_cell_angle_gamma 120.00
_space_group_name_H-M_alt 'P 31 2 1'
_space_group_IT_number 152
loop_
_space_group_symop_operation_xyz
'x,y,z'
'-y,x-y,z+1/3'
'-x+y,-x,z+2/3'
'y,x,-z'
'x-y,-y,-z+2/3'
'-x,-x+y,-z+1/3'
loop_
_atom_site_label
_atom_site_fract_x
_atom_site_fract_y
_atom_site_fract_z
Ba1 0.0000 0.6104 0.1667
B1 0.0000 0.0959 0.1667
As1 0.0000 0.6061 0.6667
O1 0.0000 0.0266 0.6667
O2 0.1434 0.8225 0.8131
O3 0.1507 0.5669 0.5168
```

Results
formation energy without anion corrections: -2189 meV/atom
density of states at the Fermi level: 0.000 states/eV/cell
uncorrected energy: -6.94 eV/atom

---

Computed, not measured: a relaxed BaBAsPd6 crystal at the PBE level of DFT.

Structure (CIF):
```
data_BaBAsPd6
_chemical_formula_sum 'Ba4 B4 As4 Pd24'
_cell_length_a 7.648
_cell_length_b 8.119
_cell_length_c 11.763
_cell_angle_alpha 90.00
_cell_angle_beta 90.00
_cell_angle_gamma 90.00
_space_group_name_H-M_alt 'I m m a'
_space_group_IT_number 74
_space_group_name_Hall '-I 2b 2'
loop_
_atom_site_label
_atom_site_fract_x
_atom_site_fract_y
_atom_site_fract_z
Ba1 0.000 0.250 0.159
B1 0.000 0.000 0.500
As1 0.250 0.250 0.750
Pd1 0.000 0.250 0.446
Pd2 0.000 0.250 0.875
Pd3 0.200 0.033 0.617
```

Results
density of states at the Fermi level: 11.907 states/eV/cell
formation enthalpy at 0 K: -29.16 kJ per mole of atoms
uncorrected energy: -5.24 eV/atom

---

Computed, not measured: a relaxed Ba2BAsRh crystal at the PBE level of DFT.

Structure (CIF):
```
data_Ba2BAsRh
_chemical_formula_sum 'Ba2 B1 As1 Rh1'
_cell_length_a 6.212
_cell_length_b 6.212
_cell_length_c 3.951
_cell_angle_alpha 90.00
_cell_angle_beta 90.00
_cell_angle_gamma 90.00
_space_group_name_H-M_alt 'P 4/m m m'
_space_group_IT_number 123
_space_group_name_Hall '-P 4 2'
loop_
_atom_site_label
_atom_site_fract_x
_atom_site_fract_y
_atom_site_fract_z
Ba1 0.000 0.500 0.000
B1 0.000 0.000 0.500
As1 0.000 0.000 0.000
Rh1 0.500 0.500 0.500
```

Results
density of states at the Fermi level: 2.654 states/eV/cell
formation enthalpy at 0 K: 38.67 kJ per mole of atoms
uncorrected energy: -4.10 eV/atom

---

Computed, not measured: a relaxed BaBAsSe2 crystal at the PBE level of DFT.

Structure (CIF):
```
data_BaBAsSe2
_chemical_formula_sum 'Ba1 B1 As1 Se2'
_cell_length_a 5.204
_cell_length_b 5.204
_cell_length_c 4.196
_cell_angle_alpha 90.00
_cell_angle_beta 90.00
_cell_angle_gamma 90.00
_space_group_name_H-M_alt 'P 4/m m m'
_space_group_IT_number 123
_space_group_name_Hall '-P 4 2'
loop_
_atom_site_label
_atom_site_fract_x
_atom_site_fract_y
_atom_site_fract_z
Ba1 0.000 0.000 0.000
B1 0.500 0.500 0.500
As1 0.500 0.500 0.000
Se1 0.000 0.500 0.500
```

Results
formation energy without anion corrections: -185 meV/atom
offset from the most stable computed form: 0.000 eV/f.u.
density of states at the Fermi level: 1.323 states/eV/cell
uncorrected energy: -4.23 eV/atom

---

Computed, not measured: a relaxed BaBAs2Se crystal at the PBE level of DFT.

Structure (CIF):
```
data_BaBAs2Se
_chemical_formula_sum 'Ba1 B1 As2 Se1'
_cell_length_a 6.180
_cell_length_b 6.180
_cell_length_c 6.049
_cell_angle_alpha 90.00
_cell_angle_beta 90.00
_cell_angle_gamma 90.00
_space_group_name_H-M_alt 'P 4/m m m'
_space_group_IT_number 123
_space_group_name_Hall '-P 4 2'
loop_
_atom_site_label
_atom_site_fract_x
_atom_site_fract_y
_atom_site_fract_z
Ba1 0.000 0.000 0.000
B1 0.500 0.500 0.500
As1 0.000 0.500 0.000
Se1 0.000 0.000 0.500
```

Results
formation energy without anion corrections: 1765 meV/atom
offset from the most stable computed form: 8.568 eV/f.u.
density of states at the Fermi level: 5.544 states/eV/cell
uncorrected energy: -2.51 eV/atom

---

Computed, not measured: a relaxed BaBAs2Se crystal at the PBE level of DFT.

Structure (CIF):
```
data_BaBAs2Se
_chemical_formula_sum 'Ba1 B1 As2 Se1'
_cell_length_a 4.605
_cell_length_b 4.605
_cell_length_c 5.189
_cell_angle_alpha 90.00
_cell_angle_beta 90.00
_cell_angle_gamma 90.00
_space_group_name_H-M_alt 'P 4/m m m'
_space_group_IT_number 123
_space_group_name_Hall '-P 4 2'
loop_
_atom_site_label
_atom_site_fract_x
_atom_site_fract_y
_atom_site_fract_z
Ba1 0.000 0.000 0.000
B1 0.500 0.500 0.500
As1 0.000 0.500 0.500
Se1 0.500 0.500 0.000
```

Results
formation energy without anion corrections: 51 meV/atom
offset from the most stable computed form: 0.000 eV/f.u.
density of states at the Fermi level: 3.430 states/eV/cell
uncorrected energy: -4.23 eV/atom

---

Computed, not measured: a relaxed BaBAsSe2 crystal at the PBE level of DFT.

Structure (CIF):
```
data_BaBAsSe2
_chemical_formula_sum 'Ba1 B1 As1 Se2'
_cell_length_a 6.183
_cell_length_b 6.183
_cell_length_c 6.288
_cell_angle_alpha 90.00
_cell_angle_beta 90.00
_cell_angle_gamma 90.00
_space_group_name_H-M_alt 'P 4/m m m'
_space_group_IT_number 123
_space_group_name_Hall '-P 4 2'
loop_
_atom_site_label
_atom_site_fract_x
_atom_site_fract_y
_atom_site_fract_z
Ba1 0.000 0.000 0.000
B1 0.500 0.500 0.500
As1 0.000 0.000 0.500
Se1 0.000 0.500 0.000
```

Results
formation energy without anion corrections: 1465 meV/atom
offset from the most stable computed form: 8.250 eV/f.u.
density of states at the Fermi level: 7.079 states/eV/cell
uncorrected energy: -2.58 eV/atom

---

Computed, not measured: a relaxed BaSrBAs2 crystal at the PBE level of DFT.

Structure (CIF):
```
data_BaSrBAs2
_chemical_formula_sum 'Ba1 Sr1 B1 As2'
_cell_length_a 5.784
_cell_length_b 5.784
_cell_length_c 6.769
_cell_angle_alpha 90.00
_cell_angle_beta 90.00
_cell_angle_gamma 90.00
_space_group_name_H-M_alt 'P 4/m m m'
_space_group_IT_number 123
_space_group_name_Hall '-P 4 2'
loop_
_atom_site_label
_atom_site_fract_x
_atom_site_fract_y
_atom_site_fract_z
Ba1 0.000 0.000 0.000
Sr1 0.000 0.000 0.500
B1 0.500 0.500 0.500
As1 0.000 0.500 0.000
```

Results
offset from the most stable computed form: 1.540 eV/f.u.
density of states at the Fermi level: 5.774 states/eV/cell
formation enthalpy at 0 K: 155.40 kJ per mole of atoms
uncorrected energy: -2.31 eV/atom

---

Computed, not measured: a relaxed BaSrBAs2 crystal at the PBE level of DFT.

Structure (CIF):
```
data_BaSrBAs2
_chemical_formula_sum 'Ba1 Sr1 B1 As2'
_cell_length_a 5.559
_cell_length_b 5.559
_cell_length_c 6.694
_cell_angle_alpha 90.00
_cell_angle_beta 90.00
_cell_angle_gamma 90.00
_space_group_name_H-M_alt 'P 4/m m m'
_space_group_IT_number 123
_space_group_name_Hall '-P 4 2'
loop_
_atom_site_label
_atom_site_fract_x
_atom_site_fract_y
_atom_site_fract_z
Ba1 0.000 0.000 0.000
Sr1 0.000 0.000 0.500
B1 0.500 0.500 0.000
As1 0.000 0.500 0.500
```

Results
offset from the most stable computed form: 0.000 eV/f.u.
density of states at the Fermi level: 3.715 states/eV/cell
formation enthalpy at 0 K: 125.69 kJ per mole of atoms
uncorrected energy: -2.61 eV/atom

---

Computed, not measured: a relaxed BaTaBAs2 crystal at the PBE level of DFT.

Structure (CIF):
```
data_BaTaBAs2
_chemical_formula_sum 'Ba1 Ta1 B1 As2'
_cell_length_a 4.618
_cell_length_b 4.618
_cell_length_c 4.900
_cell_angle_alpha 90.00
_cell_angle_beta 90.00
_cell_angle_gamma 90.00
_space_group_name_H-M_alt 'P 4/m m m'
_space_group_IT_number 123
_space_group_name_Hall '-P 4 2'
loop_
_atom_site_label
_atom_site_fract_x
_atom_site_fract_y
_atom_site_fract_z
Ba1 0.000 0.000 0.000
Ta1 0.500 0.500 0.000
B1 0.000 0.000 0.500
As1 0.000 0.500 0.500
```

Results
density of states at the Fermi level: 4.929 states/eV/cell
formation enthalpy at 0 K: 108.65 kJ per mole of atoms
uncorrected energy: -4.82 eV/atom

---

Computed, not measured: a relaxed BaB2AsW crystal at the PBE level of DFT.

Structure (CIF):
```
data_BaB2AsW
_chemical_formula_sum 'Ba1 B2 As1 W1'
_cell_length_a 4.532
_cell_length_b 4.532
_cell_length_c 4.833
_cell_angle_alpha 90.00
_cell_angle_beta 90.00
_cell_angle_gamma 90.00
_space_group_name_H-M_alt 'P 4/m m m'
_space_group_IT_number 123
_space_group_name_Hall '-P 4 2'
loop_
_atom_site_label
_atom_site_fract_x
_atom_site_fract_y
_atom_site_fract_z
Ba1 0.000 0.000 0.000
B1 0.000 0.500 0.500
As1 0.500 0.500 0.500
W1 0.500 0.500 0.000
```

Results
density of states at the Fermi level: 5.472 states/eV/cell
formation enthalpy at 0 K: 165.46 kJ per mole of atoms
uncorrected energy: -4.86 eV/atom

---

Computed, not measured: a relaxed BaBAs2W crystal at the PBE level of DFT.

Structure (CIF):
```
data_BaBAs2W
_chemical_formula_sum 'Ba1 B1 As2 W1'
_cell_length_a 4.982
_cell_length_b 4.982
_cell_length_c 4.316
_cell_angle_alpha 90.00
_cell_angle_beta 90.00
_cell_angle_gamma 90.00
_space_group_name_H-M_alt 'P 4/m m m'
_space_group_IT_number 123
_space_group_name_Hall '-P 4 2'
loop_
_atom_site_label
_atom_site_fract_x
_atom_site_fract_y
_atom_site_fract_z
Ba1 0.000 0.000 0.000
B1 0.500 0.500 0.500
As1 0.000 0.500 0.500
W1 0.500 0.500 0.000
```

Results
density of states at the Fermi level: 3.835 states/eV/cell
formation enthalpy at 0 K: 62.21 kJ per mole of atoms
uncorrected energy: -5.53 eV/atom